This record from the Alexandria database describes a relaxed HfSnGe2Os crystal. The functional is PBE-GGA.

abc: 5.015 5.015 4.894
angles: 90.00 90.00 90.00
Space group P4/mmm (No. 123)
Symmetry-distinct sites (fractional):
Hf1 0.000 0.000 0.000
Sn1 0.500 0.500 0.500
Ge1 0.000 0.500 0.500
Os1 0.500 0.500 0.000

Total moment, μB/cell: 0.00
Energy of formation from the pure elements, eV/atom: 1.486
DOS at the Fermi energy, states/eV/cell: 3.5



This record from the Alexandria database describes a relaxed SrHfGe2Os crystal. The functional is PBE-GGA.

abc: 5.142 5.142 4.858
angles: 90.00 90.00 90.00
Space group P4/mmm (No. 123)
Symmetry-distinct sites (fractional):
Sr1 0.000 0.000 0.000
Hf1 0.500 0.500 0.500
Ge1 0.000 0.500 0.000
Os1 0.000 0.000 0.500

Total moment, μB/cell: 0.00
Energy of formation from the pure elements, eV/atom: 2.033
DOS at the Fermi energy, states/eV/cell: 5.0



This record from the Alexandria database describes a relaxed Hf2Ge2P crystal. The functional is PBE-GGA.

abc: 6.972 6.972 3.926
angles: 90.00 90.00 90.00
Space group P4/mbm (No. 127)
Symmetry-distinct sites (fractional):
Hf1 0.179 0.321 0.000
Ge1 0.126 0.626 0.500
P1 0.000 0.000 0.000

ΔE to the lowest computed polymorph, meV per atom: 0
Total moment, μB/cell: 0.00
Energy of formation from the pure elements, eV/atom: -0.581
DOS at the Fermi energy, states/eV/cell: 4.3



This record from the Alexandria database describes a relaxed HfGeP2 crystal. The functional is PBE-GGA.

abc: 5.825 5.825 11.536
angles: 90.00 90.00 90.00
Space group I-42d (No. 122)
Symmetry-distinct sites (fractional):
Hf1 0.000 0.000 0.000
Ge1 0.000 0.000 0.500
P1 0.249 0.250 0.625

ΔE to the lowest computed polymorph, meV per atom: 216
Total moment, μB/cell: 0.00
Energy of formation from the pure elements, eV/atom: -0.200
DOS at the Fermi energy, states/eV/cell: 3.9



This record from the Alexandria database describes a relaxed Hf6GeP2 crystal. The functional is PBE-GGA.

abc: 5.946 6.649 10.395
angles: 90.00 120.04 90.00
Space group P2_1/c (No. 14)
Symmetry-distinct sites (fractional):
Hf1 0.077 0.198 0.440
Hf2 0.267 0.651 0.433
Hf3 0.421 0.048 0.234
Ge1 0.500 0.000 0.500
P1 0.154 0.129 0.722

Total moment, μB/cell: 0.00
Energy of formation from the pure elements, eV/atom: -0.651
DOS at the Fermi energy, states/eV/cell: 11.7



This record from the Alexandria database describes a relaxed Hf7Ge2P2 crystal. The functional is PBE-GGA.

abc: 3.516 14.345 8.349
angles: 90.00 90.00 90.00
Space group Imm2 (No. 44)
Symmetry-distinct sites (fractional):
Hf1 0.000 0.000 0.000
Hf2 0.000 0.115 0.416
Hf3 0.000 0.324 0.624
Hf4 0.000 0.347 0.247
Ge1 0.000 0.000 0.674
Ge2 0.000 0.500 0.756
P1 0.000 0.251 0.928

Total moment, μB/cell: 0.00
Energy of formation from the pure elements, eV/atom: -0.778
DOS at the Fermi energy, states/eV/cell: 13.3



This record from the Alexandria database describes a relaxed Hf3GeP crystal. The functional is PBE-GGA.

abc: 4.783 4.783 4.783
angles: 90.00 90.00 90.00
Space group Pm-3m (No. 221)
Symmetry-distinct sites (fractional):
Hf1 0.000 0.000 0.500
Ge1 0.500 0.500 0.500
P1 0.000 0.000 0.000

ΔE to the lowest computed polymorph, meV per atom: 756
Total moment, μB/cell: 0.00
Energy of formation from the pure elements, eV/atom: -0.075
DOS at the Fermi energy, states/eV/cell: 4.5



This record from the Alexandria database describes a relaxed Hf8GeP2 crystal. The functional is PBE-GGA.

abc: 7.878 11.608 4.977
angles: 90.00 104.90 90.00
Space group C2/m (No. 12)
Symmetry-distinct sites (fractional):
Hf1 0.000 0.245 0.000
Hf2 0.117 0.500 0.818
Hf3 0.202 0.126 0.594
Ge1 0.000 0.000 0.000
P1 0.000 0.314 0.500

Total moment, μB/cell: 0.00
Energy of formation from the pure elements, eV/atom: -0.497
DOS at the Fermi energy, states/eV/cell: 15.5